Model 1:
# NdDy2Pt (PBE, relaxed)
# - N(E_F): 1.17 states/eV per atom
data_NdDy2Pt
_chemical_formula_sum 'Nd2 Dy4 Pt2'
_symmetry_space_group_name_H-M 'P 1 21/m 1'
_symmetry_Int_Tables_number 11
_symmetry_space_group_name_Hall '-P 2yb'
_cell_length_a 3.833
_cell_length_b 9.289
_cell_length_c 6.537
_cell_angle_alpha 90.00
_cell_angle_beta 106.98
_cell_angle_gamma 90.00
loop_
_atom_site_label
_atom_site_type_symbol
_atom_site_fract_x
_atom_site_fract_y
_atom_site_fract_z
_atom_site_occupancy
Nd1 Nd 0.063 0.250 0.127 1
Dy1 Dy 0.361 0.062 0.722 1
Pt1 Pt 0.237 0.750 0.474 1



Model 2:
# NdDy2Pt (PBE, relaxed)
# - N(E_F): 0.99 states/eV per atom
data_NdDy2Pt
_chemical_formula_sum 'Nd3 Dy6 Pt3'
_symmetry_space_group_name_H-M 'R 3 m'
_symmetry_Int_Tables_number 160
_symmetry_space_group_name_Hall 'R 3 -2"'
_cell_length_a 3.9695
_cell_length_b 3.9695
_cell_length_c 27.1184
_cell_angle_alpha 90.00
_cell_angle_beta 90.00
_cell_angle_gamma 120.00
loop_
_atom_site_label
_atom_site_type_symbol
_atom_site_fract_x
_atom_site_fract_y
_atom_site_fract_z
_atom_site_occupancy
Nd1 Nd 0.0000 0.0000 0.0000 1
Dy1 Dy 0.0000 0.0000 0.5569 1
Dy2 Dy 0.0000 0.0000 0.7717 1
Pt1 Pt 0.0000 0.0000 0.1637 1



Stability summary - winner: model 1; margin: 113 meV per atom.



Model 1:
# NdDy2Pt (PBE, relaxed)
# - N(E_F): 1.03 states/eV per atom
data_NdDy2Pt
_chemical_formula_sum 'Nd4 Dy8 Pt4'
_symmetry_space_group_name_H-M 'P n m a'
_symmetry_Int_Tables_number 62
_symmetry_space_group_name_Hall '-P 2ac 2n'
_cell_length_a 7.155
_cell_length_b 9.655
_cell_length_c 6.576
_cell_angle_alpha 90.00
_cell_angle_beta 90.00
_cell_angle_gamma 90.00
loop_
_atom_site_label
_atom_site_type_symbol
_atom_site_fract_x
_atom_site_fract_y
_atom_site_fract_z
_atom_site_occupancy
Nd1 Nd 0.023 0.250 0.134 1
Dy1 Dy 0.178 0.062 0.673 1
Pt1 Pt 0.115 0.750 0.430 1



Model 2:
# NdDy2Pt (PBE, relaxed)
# - N(E_F): 1.26 states/eV per atom
data_NdDy2Pt
_chemical_formula_sum 'Nd3 Dy6 Pt3'
_symmetry_space_group_name_H-M 'R -3 m'
_symmetry_Int_Tables_number 166
_symmetry_space_group_name_Hall '-R 3 2"'
_cell_length_a 3.8573
_cell_length_b 3.8573
_cell_length_c 28.5100
_cell_angle_alpha 90.00
_cell_angle_beta 90.00
_cell_angle_gamma 120.00
loop_
_atom_site_label
_atom_site_type_symbol
_atom_site_fract_x
_atom_site_fract_y
_atom_site_fract_z
_atom_site_occupancy
Nd1 Nd 0.0000 0.0000 0.0000 1
Dy1 Dy 0.0000 0.0000 0.2267 1
Pt1 Pt 0.0000 0.0000 0.5000 1



Stability summary - winner: model 1; margin: 169 meV per atom.



Model 1:
# NdDyZnPt (PBE, relaxed)
# - N(E_F): 0.80 states/eV per atom
data_NdDyZnPt
_chemical_formula_sum 'Nd2 Dy2 Zn2 Pt2'
_symmetry_space_group_name_H-M 'A m m 2'
_symmetry_Int_Tables_number 38
_symmetry_space_group_name_Hall 'A 2 -2'
_cell_length_a 4.463
_cell_length_b 3.910
_cell_length_c 10.959
_cell_angle_alpha 90.00
_cell_angle_beta 90.00
_cell_angle_gamma 90.00
loop_
_atom_site_label
_atom_site_type_symbol
_atom_site_fract_x
_atom_site_fract_y
_atom_site_fract_z
_atom_site_occupancy
Nd1 Nd 0.000 0.000 0.000 1
Dy1 Dy 0.500 0.000 0.719 1
Zn1 Zn 0.500 0.000 0.430 1
Pt1 Pt 0.000 0.000 0.281 1



Model 2:
# NdDyZnPt (PBE, relaxed)
# - N(E_F): 0.73 states/eV per atom
data_NdDyZnPt
_chemical_formula_sum 'Nd4 Dy4 Zn4 Pt4'
_symmetry_space_group_name_H-M 'F -4 3 m'
_symmetry_Int_Tables_number 216
_symmetry_space_group_name_Hall 'F -4 2 3'
_cell_length_a 7.172
_cell_length_b 7.172
_cell_length_c 7.172
_cell_angle_alpha 90.00
_cell_angle_beta 90.00
_cell_angle_gamma 90.00
loop_
_atom_site_label
_atom_site_type_symbol
_atom_site_fract_x
_atom_site_fract_y
_atom_site_fract_z
_atom_site_occupancy
Nd1 Nd 0.000 0.000 0.000 1
Dy1 Dy 0.000 0.000 0.500 1
Zn1 Zn 0.250 0.250 0.750 1
Pt1 Pt 0.250 0.250 0.250 1



Stability summary - winner: model 1; margin: 45 meV per atom.



Model 1:
# NdDy2Pu (PBE, relaxed)
# - N(E_F): 3.12 states/eV per atom
data_NdDy2Pu
_chemical_formula_sum 'Nd4 Dy8 Pu4'
_symmetry_space_group_name_H-M 'F m -3 m'
_symmetry_Int_Tables_number 225
_symmetry_space_group_name_Hall '-F 4 2 3'
_cell_length_a 7.977
_cell_length_b 7.977
_cell_length_c 7.977
_cell_angle_alpha 90.00
_cell_angle_beta 90.00
_cell_angle_gamma 90.00
loop_
_atom_site_label
_atom_site_type_symbol
_atom_site_fract_x
_atom_site_fract_y
_atom_site_fract_z
_atom_site_occupancy
Nd1 Nd 0.000 0.000 0.000 1
Dy1 Dy 0.250 0.250 0.250 1
Pu1 Pu 0.000 0.000 0.500 1



Model 2:
# NdDy2Pu (PBE, relaxed)
# - N(E_F): 4.05 states/eV per atom
data_NdDy2Pu
_chemical_formula_sum 'Nd1 Dy2 Pu1'
_symmetry_space_group_name_H-M 'P 4/m m m'
_symmetry_Int_Tables_number 123
_symmetry_space_group_name_Hall '-P 4 2'
_cell_length_a 5.004
_cell_length_b 5.004
_cell_length_c 5.008
_cell_angle_alpha 90.00
_cell_angle_beta 90.00
_cell_angle_gamma 90.00
loop_
_atom_site_label
_atom_site_type_symbol
_atom_site_fract_x
_atom_site_fract_y
_atom_site_fract_z
_atom_site_occupancy
Nd1 Nd 0.000 0.000 0.000 1
Dy1 Dy 0.000 0.500 0.500 1
Pu1 Pu 0.500 0.500 0.000 1



Model 3:
# NdDy2Pu (PBE, relaxed)
# - N(E_F): 3.04 states/eV per atom
data_NdDy2Pu
_chemical_formula_sum 'Nd3 Dy6 Pu3'
_symmetry_space_group_name_H-M 'R -3 m'
_symmetry_Int_Tables_number 166
_symmetry_space_group_name_Hall '-R 3 2"'
_cell_length_a 3.4698
_cell_length_b 3.4698
_cell_length_c 36.9899
_cell_angle_alpha 90.00
_cell_angle_beta 90.00
_cell_angle_gamma 120.00
loop_
_atom_site_label
_atom_site_type_symbol
_atom_site_fract_x
_atom_site_fract_y
_atom_site_fract_z
_atom_site_occupancy
Nd1 Nd 0.0000 0.0000 0.0000 1
Dy1 Dy 0.0000 0.0000 0.4123 1
Pu1 Pu 0.0000 0.0000 0.5000 1



Stability summary - winner: model 2; margin: 70 meV per atom.